No. 1
This record from Alexandria via LeMat-Bulk describes a relaxed structure of Re2PIr. The functional is GGA-PBE.

**Uncorrected energy**: -0.3409 Ha/atom
**Crystal system**: cubic
**Volume**: 234.6 Å³ per cell
**ΔE_f**: 515 meV per atom

Lattice parameters (Å, degrees): 6.1676 6.1676 6.1676 90.00 90.00 90.00
Last column: nearest neighbours and their distance in Å.
Space group F-43m (No. 216)
Symmetry-distinct sites (fractional):
Re (0.0000, 0.0000, 0.0000)  4 Re 2.67, 4 P 2.67
Re (0.2500, 0.2500, 0.2500)  4 Re 2.67, 4 Ir 2.67
P (0.2500, 0.2500, 0.7500)  4 Re 2.67, 4 Ir 2.67
Ir (0.0000, 0.0000, 0.5000)  4 Re 2.67, 4 P 2.67

=====

No. 2
This record from Alexandria via LeMat-Bulk describes a relaxed structure of Re2PIr. The functional is GGA-PBE.

**Uncorrected energy**: -0.3440 Ha/atom
**Crystal system**: orthorhombic
**Volume**: 116.5 Å³ per cell
**ΔE_f**: 430 meV per atom

Lattice parameters (Å, degrees): 2.8586 4.8120 8.4666 90.00 90.00 90.00
Last column: nearest neighbours and their distance in Å.
Space group Cmmm (No. 65)
Symmetry-distinct sites (fractional):
Re (0.0000, 0.0000, 0.2245)  2 P 2.38
P (0.0000, 0.5000, 0.0000)  4 Re 2.38
Ir (0.0000, 0.5000, 0.5000)  4 Re 2.74, 6 Ir 2.80-2.86

=====

No. 3
This record from Alexandria via LeMat-Bulk describes a relaxed structure of ReP2Ir. The functional is GGA-PBE.

**Uncorrected energy**: -0.2956 Ha/atom
**Energy above the lowest structure with this stoichiometry**: 291 meV per atom
**Crystal system**: tetragonal
**Volume**: 53.4 Å³ per cell
**ΔE_f**: -11 meV per atom

Lattice parameters (Å, degrees): 3.0008 3.0008 5.9289 90.00 90.00 90.00
Last column: nearest neighbours and their distance in Å.
Space group P4/mmm (No. 123)
Symmetry-distinct sites (fractional):
Re (0.0000, 0.0000, 0.0000)  8 P 2.55
P (0.5000, 0.5000, 0.2395)  4 Re 2.55, 4 Ir 2.62, 1 P 2.84
Ir (0.0000, 0.0000, 0.5000)  8 P 2.62

=====

No. 4
This record from Alexandria via LeMat-Bulk describes a relaxed structure of ReP2Ir. The functional is GGA-PBE.

**Uncorrected energy**: -0.3063 Ha/atom
**Energy above the lowest structure with this stoichiometry**: 0 meV per atom
**Crystal system**: monoclinic
**Volume**: 63.4 Å³ per cell
**ΔE_f**: -302 meV per atom

Lattice parameters (Å, degrees): 3.6485 4.4641 4.2896 90.00 114.83 90.00
Last column: nearest neighbours and their distance in Å.
Space group Pm (No. 6)
Symmetry-distinct sites (fractional):
Re (0.0000, 0.0000, 0.0000)  5 P 2.33-2.44
P (0.1260, 0.5000, 0.2541)  3 Ir 2.33-2.45, 2 Re 2.44
P (0.3154, 0.0000, 0.6261)  3 Re 2.33-2.44, 2 Ir 2.45
Ir (0.4428, 0.5000, 0.8831)  5 P 2.33-2.45

=====

No. 5
This record from Alexandria via LeMat-Bulk describes a relaxed structure of ReP2Ir. The functional is GGA-PBE.

**Uncorrected energy**: -0.2711 Ha/atom
**Energy above the lowest structure with this stoichiometry**: 958 meV per atom
**Crystal system**: cubic
**Volume**: 231.9 Å³ per cell
**ΔE_f**: 656 meV per atom

Lattice parameters (Å, degrees): 6.1436 6.1436 6.1436 90.00 90.00 90.00
Last column: nearest neighbours and their distance in Å.
Space group F-43m (No. 216)
Symmetry-distinct sites (fractional):
Re (0.0000, 0.0000, 0.0000)  4 Ir 2.66, 4 P 2.66
P (0.0000, 0.0000, 0.5000)  4 Ir 2.66, 4 P 2.66
P (0.2500, 0.2500, 0.7500)  4 Re 2.66, 4 P 2.66
Ir (0.2500, 0.2500, 0.2500)  4 Re 2.66, 4 P 2.66

=====

No. 6
This record from Alexandria via LeMat-Bulk describes a relaxed structure of ReP2Ir. The functional is GGA-PBE.

**Uncorrected energy**: -0.2810 Ha/atom
**Energy above the lowest structure with this stoichiometry**: 689 meV per atom
**Crystal system**: orthorhombic
**Volume**: 115.7 Å³ per cell
**ΔE_f**: 387 meV per atom

Lattice parameters (Å, degrees): 2.8686 5.1367 7.8511 90.00 90.00 90.00
Last column: nearest neighbours and their distance in Å.
Space group Immm (No. 71)
Symmetry-distinct sites (fractional):
Re (0.0000, 0.0000, 0.0000)  4 P 2.43
P (0.0000, 0.5000, 0.2497)  2 Ir 2.43, 2 Re 2.43
Ir (0.0000, 0.0000, 0.5000)  4 P 2.43